A plane-wave DFT calculation with GGA-PBE was carried out for an optimized crystal structure of TcP2BrCl.

Cell lengths 4.630, 4.630, 4.872 Å; angles 90.00, 90.00, 90.00 degrees
Space group P4/mmm (No. 123)
One atom of each set of equivalent atoms:
1 Tc 0.000 0.000 0.000 x1
2 P 0.000 0.500 0.000 x2
3 Br 0.500 0.500 0.500 x1
4 Cl 0.000 0.000 0.500 x1

energy relative to the elements, uncorrected	262	meV/atom
M_tot	0.000	μB/f.u.
D(E_F)	0.582	states/eV/atom
offset from the most stable computed form	0	meV per atom

***

A plane-wave DFT calculation with GGA-PBE was carried out for an optimized crystal structure of ZrCuIrRh.

Cell lengths 3.763, 4.029, 4.052 Å; angles 90.00, 90.00, 90.00 degrees
Space group Pmmm (No. 47)
One atom of each set of equivalent atoms:
1 Zr 0.000 0.000 0.000 x1
2 Cu 0.000 0.500 0.500 x1
3 Ir 0.500 0.000 0.500 x1
4 Rh 0.500 0.500 0.000 x1

M_tot	0.000	μB/f.u.
D(E_F)	0.997	states/eV/atom
offset from the most stable computed form	0	meV per atom
formation energy from the elements	-0.56	eV/atom

***

A plane-wave DFT calculation with GGA-PBE was carried out for an optimized crystal structure of CsLi2ZnIn.

Cell lengths 5.602, 5.602, 5.139 Å; angles 90.00, 90.00, 90.00 degrees
Space group P4/mmm (No. 123)
One atom of each set of equivalent atoms:
1 Cs 0.000 0.000 0.000 x1
2 Li 0.000 0.500 0.500 x2
3 Zn 0.500 0.500 0.000 x1
4 In 0.500 0.500 0.500 x1

M_tot	0.000	μB/f.u.
D(E_F)	0.322	states/eV/atom
formation energy from the elements	0.03	eV/atom

***

A plane-wave DFT calculation with GGA-PBE was carried out for an optimized crystal structure of Y6HoEr3Tm2.

Cell lengths 6.129, 10.602, 11.731 Å; angles 90.00, 100.00, 90.00 degrees
Space group C2/m (No. 12)
One atom of each set of equivalent atoms:
1 Y 0.250 0.000 0.250 x4
2 Y 0.250 0.167 0.750 x8
3 Ho 0.000 0.000 0.500 x2
4 Er 0.000 0.167 0.000 x4
5 Er 0.000 0.500 0.000 x2
6 Tm 0.000 0.333 0.500 x4

M_tot	0.000	μB/f.u.
D(E_F)	1.492	states/eV/atom
formation energy from the elements	0.03	eV/atom